Computed, not measured: a relaxed structure of Co2CuNi at the GGA-PBE level of DFT.

## Properties
**Energy relative to the lowest polymorph listed for this composition**: 63 meV per atom
**Energy of formation from the pure elements**: 83 meV per atom

Unit cell a=4.3775 b=4.3775 c=4.3311 alpha=99.39 beta=99.39 gamma=33.07
With the nearest neighbours (Å) after each atom.
Element x y z (fractional)
Co 0.2465 0.2465 0.2457  6 Co 2.48-2.52, 3 Ni 2.49-2.54, 3 Cu 2.50-2.55
Co 0.7535 0.7535 0.7543  6 Co 2.48-2.52, 3 Ni 2.49-2.54, 3 Cu 2.50-2.55
Cu 0.0000 0.0000 0.5000  2 Cu 2.49, 4 Ni 2.50, 6 Co 2.50-2.55
Ni 0.5000 0.5000 0.0000  2 Ni 2.49, 6 Co 2.49-2.54, 4 Cu 2.50



Computed, not measured: a relaxed structure of Tc2MoRu at the GGA-PBE level of DFT.

## Properties
**Energy relative to the lowest polymorph listed for this composition**: 702 meV per atom
**Energy of formation from the pure elements**: 717 meV per atom

Unit cell a=9.3581 b=9.3581 c=9.3581 alpha=156.73 beta=156.73 gamma=33.14
With the nearest neighbours (Å) after each atom.
Element x y z (fractional)
Tc 0.1200 0.6250 0.9950  2 Ru 2.60, 2 Mo 2.62, 4 Tc 2.64-2.70
Tc 0.3750 0.3700 0.4950  2 Ru 2.60, 2 Mo 2.62, 4 Tc 2.64-2.70
Tc 0.6300 0.1250 0.0050  2 Ru 2.60, 2 Mo 2.62, 4 Tc 2.64-2.70
Tc 0.8750 0.8800 0.5050  2 Ru 2.60, 2 Mo 2.62, 4 Tc 2.64-2.70
Mo 0.2500 0.7500 0.5000  4 Tc 2.62, 4 Ru 2.67
Mo 0.5000 0.5000 0.0000  4 Tc 2.62, 4 Ru 2.67
Ru 0.0000 0.0000 0.0000  4 Tc 2.60, 4 Mo 2.67
Ru 0.7500 0.2500 0.5000  4 Tc 2.60, 4 Mo 2.67



Computed, not measured: a relaxed structure of MgMnCd2Cl at the GGA-PBE level of DFT.

## Properties
**Calculated total energy**: -12.624 eV/cell

Unit cell a=5.6133 b=5.6133 c=4.7840 alpha=90.00 beta=90.00 gamma=90.00
With the nearest neighbours (Å) after each atom.
Element x y z (fractional)
Mg 0.0000 0.0000 0.0000  2 Cl 2.39
Mn 0.5000 0.5000 0.5000  8 Cd 3.69, 4 Cl 3.97
Cd 0.0000 0.5000 0.0000  2 Mg 2.81
Cd 0.5000 0.0000 0.0000  2 Mg 2.81
Cl 0.0000 0.0000 0.5000  2 Mg 2.39



Computed, not measured: a relaxed structure of Be2CuH at the GGA-PBE level of DFT.

## Properties
**Energy relative to the lowest polymorph listed for this composition**: 0 meV per atom

Unit cell a=4.4584 b=4.4584 c=4.4584 alpha=118.32 beta=118.32 gamma=92.94
With the nearest neighbours (Å) after each atom.
Element x y z (fractional)
Be 0.3750 0.2142 0.3392  2 H 1.44
Be 0.7858 0.1250 0.1608  2 H 1.44
Be 0.8750 0.0358 0.6608  2 H 1.44
Be 0.9642 0.6250 0.8392  2 H 1.44
Cu 0.2500 0.7500 0.5000  8 Be 2.33-2.60
Cu 0.5000 0.5000 0.0000  8 Be 2.33-2.60
H 0.0000 0.0000 0.0000  4 Be 1.44
H 0.7500 0.2500 0.5000  4 Be 1.44



Computed, not measured: a relaxed structure of CaAu8 at the GGA-PBE level of DFT.

## Properties
**Energy of formation from the pure elements**: -216 meV per atom

Unit cell a=6.6599 b=6.6599 c=6.6599 alpha=95.91 beta=95.91 gamma=142.58
With the nearest neighbours (Å) after each atom.
Element x y z (fractional)
Ca 0.0000 0.0000 0.0000  12 Au 2.99-3.02
Au 0.0000 0.3353 0.3353  11 Au 2.94-3.01, 1 Ca 2.99
Au 0.0000 0.6647 0.6647  11 Au 2.94-3.01, 1 Ca 2.99
Au 0.3311 0.3311 0.6623  10 Au 2.95-3.01, 2 Ca 3.02
Au 0.3311 0.6689 0.0000  10 Au 2.95-3.01, 2 Ca 3.02
Au 0.3353 0.0000 0.3353  11 Au 2.94-3.01, 1 Ca 2.99
Au 0.6647 0.0000 0.6647  11 Au 2.94-3.01, 1 Ca 2.99
Au 0.6689 0.3311 0.0000  10 Au 2.95-3.01, 2 Ca 3.02
Au 0.6689 0.6689 0.3377  10 Au 2.95-3.01, 2 Ca 3.02



Computed, not measured: a relaxed structure of LiCdOs2 at the GGA-PBE level of DFT.

## Properties
**Energy of formation from the pure elements**: 719 meV per atom

Unit cell a=2.6417 b=2.6417 c=8.9675 alpha=90.00 beta=90.00 gamma=90.00
With the nearest neighbours (Å) after each atom.
Element x y z (fractional)
Li 0.0000 0.0000 0.0000  4 Li 2.64, 8 Os 2.85
Cd 0.0000 0.0000 0.5000  4 Cd 2.64
Os 0.5000 0.5000 0.2394  4 Os 2.64, 4 Li 2.85
Os 0.5000 0.5000 0.7606  4 Os 2.64, 4 Li 2.85



| no. | DOS at the Fermi energy (states/eV/atom) |
| --- | --- |
| 1 | 1.17 |
| 2 | 1.26 |
| 3 | 0.45 |
| 4 | 0.00 |
| 5 | 0.34 |
| 6 | 1.36 |